An optimized crystal structure of AuCl2, computed with PBE-GGA.

Output
The value obtained for the calculated volume is 31.232 A^3/atom. The total magnetization comes out at 0.77 μB/f.u. The value obtained for the calculated total energy is -2.516 eV/atom. The calculation puts the density of states at the Fermi level at 3.22 states/eV/cell. The calculation puts the formation energy (no corrections) at -0.6 eV/f.u.

a = 6.877 Å, b = 6.877 Å, c = 7.739 Å
α = 90.00°, β = 90.00°, γ = 149.20°
Site moments in Bohr magnetons follow the coordinates.
Fractional positions:
Cl  0.774  0.226  0.500  0.17
Cl  0.671  0.329  0.000  0.17
Cl  0.021  0.979  0.500  0.17
Cl  0.424  0.576  0.000  0.17
Au  0.397  0.603  0.500  0.32
Au  0.048  0.952  0.000  0.32